[1]
A geometry-optimized Sr2Mg5Zn4 structure, computed with PBE.

Calculated values
As for the total energy: -0.0587 Ha/atom. The crystal system is monoclinic. The calculation puts the density of states at the Fermi level at 0.58 states/eV/atom.

a b c (Å): 6.244 7.391 7.300
angles (deg): 73.98 64.68 65.01
Fractional positions:
Sr  0.291  0.755  0.664
Sr  0.709  0.245  0.336
Mg  0.223  0.209  0.851
Mg  0.777  0.791  0.149
Mg  0.000  0.500  0.500
Mg  0.718  0.209  0.851
Mg  0.282  0.791  0.149
Zn  0.313  0.105  0.269
Zn  0.687  0.895  0.731
Zn  0.773  0.542  0.912
Zn  0.227  0.458  0.088

[2]
A geometry-optimized Sr2Mg5Zn3 structure, computed with PBE.

Calculated values
As for the total energy: -0.0599 Ha/atom. The crystal system is orthorhombic. The calculation puts the density of states at the Fermi level at 0.64 states/eV/atom.

a b c (Å): 4.614 7.716 14.337
angles (deg): 90.00 99.26 90.00
Fractional positions:
Sr  0.478  0.769  0.955
Sr  0.178  0.715  0.355
Sr  0.822  0.215  0.645
Sr  0.522  0.269  0.045
Mg  0.401  0.403  0.802
Mg  0.292  0.528  0.584
Mg  0.708  0.028  0.416
Mg  0.132  0.232  0.263
Mg  0.289  0.910  0.579
Mg  0.942  0.097  0.883
Mg  0.711  0.410  0.421
Mg  0.868  0.732  0.737
Mg  0.058  0.597  0.117
Mg  0.599  0.903  0.198
Zn  0.766  0.719  0.531
Zn  0.615  0.517  0.231
Zn  0.045  0.975  0.090
Zn  0.234  0.219  0.469
Zn  0.955  0.475  0.910
Zn  0.385  0.017  0.769

[3]
A geometry-optimized SrMg3Zn structure, computed with PBE.

Calculated values
As for the total energy: -0.0603 Ha/atom. The crystal system is monoclinic. The calculation puts the density of states at the Fermi level at 0.44 states/eV/atom.

a b c (Å): 5.985 6.290 7.551
angles (deg): 90.00 112.41 90.00
Fractional positions:
Sr  0.723  0.948  0.921
Sr  0.311  0.448  0.639
Mg  0.837  0.448  0.162
Mg  0.198  0.948  0.399
Mg  0.741  0.189  0.474
Mg  0.741  0.706  0.474
Mg  0.294  0.689  0.087
Mg  0.294  0.206  0.087
Zn  0.899  0.448  0.816
Zn  0.136  0.948  0.745

[4]
A geometry-optimized SrMgZn structure, computed with PBE.

Calculated values
As for the total energy: -0.0562 Ha/atom. The crystal system is cubic. The calculation puts the density of states at the Fermi level at 0.58 states/eV/atom.

a b c (Å): 5.114 5.114 5.114
angles (deg): 60.00 60.00 60.00
Fractional positions:
Mg  0.000  0.000  0.000
Sr  0.500  0.500  0.500
Zn  0.750  0.750  0.750

[5]
A geometry-optimized SrMg2Zn structure, computed with PBE.

Calculated values
As for the total energy: -0.0567 Ha/atom. The crystal system is monoclinic. The calculation puts the density of states at the Fermi level at 0.44 states/eV/atom.

a b c (Å): 4.771 4.094 6.037
angles (deg): 74.36 90.00 90.00
Fractional positions:
Mg  0.000  0.897  0.953
Mg  0.000  0.603  0.547
Sr  0.500  0.250  0.250
Zn  0.500  0.750  0.750

[6]
A geometry-optimized SrMg2Zn2 structure, computed with PBE.

Calculated values
As for the total energy: -0.0612 Ha/atom. The crystal system is tetragonal. The calculation puts the density of states at the Fermi level at 0.64 states/eV/atom.

a b c (Å): 4.485 4.485 6.868
angles (deg): 70.94 70.94 90.00
Fractional positions:
Sr  0.000  0.000  0.000
Zn  0.394  0.394  0.211
Zn  0.606  0.606  0.789
Mg  0.750  0.250  0.500
Mg  0.250  0.750  0.500

[7]
A geometry-optimized SrMg6Zn structure, computed with PBE.

Calculated values
As for the total energy: -0.0567 Ha/atom. The crystal system is orthorhombic. The calculation puts the density of states at the Fermi level at 0.54 states/eV/atom.

a b c (Å): 7.290 7.290 5.011
angles (deg): 90.00 90.00 129.69
Fractional positions:
Sr  0.300  0.700  0.500
Mg  0.805  0.677  0.500
Mg  0.323  0.195  0.500
Mg  0.679  0.828  0.000
Mg  0.172  0.321  0.000
Mg  0.705  0.295  0.000
Mg  0.133  0.867  0.000
Zn  0.882  0.118  0.500

[8]
A geometry-optimized Sr2Mg15Zn2 structure, computed with PBE.

Calculated values
As for the total energy: -0.0590 Ha/atom. The crystal system is trigonal. The calculation puts the density of states at the Fermi level at 0.52 states/eV/atom.

a b c (Å): 7.853 7.853 7.853
angles (deg): 82.71 82.71 82.71
Fractional positions:
Sr  0.331  0.331  0.331
Sr  0.669  0.669  0.669
Mg  0.500  0.000  0.000
Mg  0.000  0.000  0.500
Mg  0.000  0.500  0.000
Mg  0.000  0.706  0.294
Mg  0.706  0.294  0.000
Mg  0.294  0.000  0.706
Mg  0.294  0.706  0.000
Mg  0.706  0.000  0.294
Mg  0.000  0.294  0.706
Mg  0.153  0.653  0.653
Mg  0.653  0.653  0.153
Mg  0.653  0.153  0.653
Mg  0.847  0.347  0.347
Mg  0.347  0.347  0.847
Mg  0.347  0.847  0.347
Zn  0.093  0.093  0.093
Zn  0.907  0.907  0.907

no.,DFT formation energy (eV per atom)
1,-0.104
2,-0.114
3,-0.094
4,-0.011
5,-0.006
6,-0.181
7,0.023
8,-0.036